First-principles (PBE-GGA) data for a relaxed TlRuW2 crystal, as listed in the Alexandria database. Values from VASP.

Geometry as Quantum ESPRESSO input:
```
&SYSTEM
  ibrav = 0, nat = 4, ntyp = 3
/
ATOMIC_SPECIES
Ru 101.07 Ru.upf
Tl 204.38 Tl.upf
W 183.84 W.upf
ATOMIC_POSITIONS crystal
Ru 0.0000 0.0000 0.0000
Tl 0.5000 0.5000 0.5000
W 0.2500 0.2500 0.2500
W 0.7500 0.7500 0.7500
CELL_PARAMETERS angstrom
3.9223 -1.6311 1.7249
0.0128 -3.9485 2.3302
1.9307 -3.7348 -1.8287
```

N(E_F) ... 1.08 states/eV per atom
Symmetry ... No. 225
ΔE to the lowest computed polymorph ... 542.3 meV per atom
Formation enthalpy at 0 K ... 1.03 eV/atom